No. 1
# meta-GGA SCAN La3Ga5SnO14, single point on PBEsol structure
data_La3Ga5SnO14
_chemical_formula_sum 'La3 Ga5 Sn1 O14'
_space_group_name_H-M_alt 'P 1'
_space_group_IT_number 1
_cell_length_a 5.166
_cell_length_b 8.235
_cell_length_c 8.235
_cell_angle_alpha 120.00
_cell_angle_beta 90.00
_cell_angle_gamma 90.00
loop_
_space_group_symop_operation_xyz
'x,y,z'
loop_
_atom_site_label
_atom_site_type_symbol
_atom_site_fract_x
_atom_site_fract_y
_atom_site_fract_z
O1 O 0.243 0.920 0.148
O2 O 0.243 0.228 0.080
O3 O 0.757 0.080 0.228
O4 O 0.301 0.313 0.458
O5 O 0.243 0.852 0.772
O6 O 0.757 0.772 0.852
O7 O 0.699 0.854 0.542
O8 O 0.301 0.146 0.687
O9 O 0.757 0.148 0.920
O10 O 0.699 0.458 0.313
O11 O 0.699 0.687 0.146
O12 O 0.301 0.542 0.854
O13 O 0.180 0.667 0.333
O14 O 0.820 0.333 0.667
Sn1 Sn 0.000 0.000 0.000
La1 La 0.000 0.571 0.571
La2 La 0.000 0.429 0.000
La3 La 0.000 0.000 0.429
Ga1 Ga 0.500 0.757 0.000
Ga2 Ga 0.500 0.000 0.757
Ga3 Ga 0.470 0.333 0.667
Ga4 Ga 0.530 0.667 0.333
Ga5 Ga 0.500 0.243 0.243
# - theoretical density (g/cm3) = 6.1
# - uncorrected formation energy (eV per atom) = -2.648
# - symmetry = P321 (150)

No. 2
# meta-GGA SCAN SrLaGaO4, single point on PBEsol structure
data_SrLaGaO4
_chemical_formula_sum 'Sr1 La1 Ga1 O4'
_space_group_name_H-M_alt 'P 1'
_space_group_IT_number 1
_cell_length_a 3.838
_cell_length_b 3.838
_cell_length_c 6.808
_cell_angle_alpha 106.37
_cell_angle_beta 106.37
_cell_angle_gamma 90.00
loop_
_space_group_symop_operation_xyz
'x,y,z'
loop_
_atom_site_label
_atom_site_type_symbol
_atom_site_fract_x
_atom_site_fract_y
_atom_site_fract_z
La1 La 0.642 0.642 0.283
Ga1 Ga 0.994 0.994 0.988
O1 O 0.506 0.006 0.011
O2 O 0.830 0.830 0.661
O3 O 0.006 0.506 0.011
O4 O 0.165 0.165 0.331
Sr1 Sr 0.358 0.358 0.716
# - theoretical density (g/cm3) = 6.5
# - uncorrected formation energy (eV per atom) = -3.014
# - symmetry = I4mm (107)

No. 3
# meta-GGA SCAN La6TaGa11O28, single point on PBEsol structure
data_La6TaGa11O28
_chemical_formula_sum 'La6 Ta1 Ga11 O28'
_space_group_name_H-M_alt 'P 1'
_space_group_IT_number 1
_cell_length_a 8.190
_cell_length_b 9.671
_cell_length_c 9.666
_cell_angle_alpha 63.98
_cell_angle_beta 64.93
_cell_angle_gamma 64.95
loop_
_space_group_symop_operation_xyz
'x,y,z'
loop_
_atom_site_label
_atom_site_type_symbol
_atom_site_fract_x
_atom_site_fract_y
_atom_site_fract_z
La1 La 0.999 0.789 0.788
La2 La 0.002 0.286 0.287
La3 La 0.434 0.500 0.500
La4 La 0.574 0.714 0.713
La5 La 0.576 0.211 0.212
La6 La 0.419 0.000 0.000
O1 O 0.849 0.084 0.379
O2 O 0.778 0.455 0.685
O3 O 0.860 0.726 0.496
O4 O 0.666 0.921 0.743
O5 O 0.063 0.768 0.018
O6 O 0.214 0.091 0.843
O7 O 0.148 0.909 0.157
O8 O 0.142 0.808 0.502
O9 O 0.686 0.275 0.588
O10 O 0.142 0.426 0.656
O11 O 0.539 0.221 0.932
O12 O 0.935 0.048 0.801
O13 O 0.312 0.916 0.621
O14 O 0.917 0.545 0.315
O15 O 0.849 0.232 0.982
O16 O 0.225 0.574 0.344
O17 O 0.548 0.725 0.412
O18 O 0.668 0.424 0.245
O19 O 0.309 0.428 0.122
O20 O 0.337 0.576 0.755
O21 O 0.784 0.952 0.199
O22 O 0.083 0.274 0.504
O23 O 0.859 0.572 0.878
O24 O 0.452 0.192 0.498
O25 O 0.460 0.696 0.992
O26 O 0.148 0.304 0.008
O27 O 0.329 0.079 0.257
O28 O 0.692 0.779 0.068
Ta1 Ta 0.002 0.500 0.500
Ga1 Ga 0.334 0.899 0.429
Ga2 Ga 0.758 0.245 0.765
Ga3 Ga 0.236 0.121 0.636
Ga4 Ga 0.006 0.360 0.874
Ga5 Ga 0.998 0.000 0.000
Ga6 Ga 0.993 0.879 0.364
Ga7 Ga 0.333 0.403 0.935
Ga8 Ga 0.240 0.640 0.126
Ga9 Ga 0.768 0.755 0.235
Ga10 Ga 0.671 0.597 0.065
Ga11 Ga 0.662 0.101 0.571
# - theoretical density (g/cm3) = 6.2
# - uncorrected formation energy (eV per atom) = -2.755
# - symmetry = C2 (5)

No. 4
# meta-GGA SCAN La3TaGa5O14, single point on PBEsol structure
data_La3TaGa5O14
_chemical_formula_sum 'La3 Ta1 Ga5 O14'
_space_group_name_H-M_alt 'P 1'
_space_group_IT_number 1
_cell_length_a 5.232
_cell_length_b 8.191
_cell_length_c 8.191
_cell_angle_alpha 120.00
_cell_angle_beta 90.00
_cell_angle_gamma 90.00
loop_
_space_group_symop_operation_xyz
'x,y,z'
loop_
_atom_site_label
_atom_site_type_symbol
_atom_site_fract_x
_atom_site_fract_y
_atom_site_fract_z
O1 O 0.237 0.146 0.220
O2 O 0.763 0.854 0.074
O3 O 0.763 0.926 0.780
O4 O 0.302 0.457 0.144
O5 O 0.182 0.333 0.667
O6 O 0.698 0.314 0.856
O7 O 0.302 0.686 0.543
O8 O 0.698 0.144 0.457
O9 O 0.302 0.856 0.314
O10 O 0.763 0.220 0.146
O11 O 0.698 0.543 0.686
O12 O 0.237 0.074 0.854
O13 O 0.237 0.780 0.926
O14 O 0.818 0.667 0.333
La1 La 0.000 0.000 0.572
La2 La 0.000 0.572 0.000
La3 La 0.000 0.428 0.428
Ga1 Ga 0.500 0.760 0.760
Ga2 Ga 0.530 0.333 0.667
Ga3 Ga 0.500 0.240 0.000
Ga4 Ga 0.470 0.667 0.333
Ga5 Ga 0.500 0.000 0.240
Ta1 Ta 0.000 0.000 0.000
# - theoretical density (g/cm3) = 6.4
# - uncorrected formation energy (eV per atom) = -2.748
# - symmetry = P321 (150)

No. 5
# meta-GGA SCAN La3TiGa5O14, single point on PBEsol structure
data_La3TiGa5O14
_chemical_formula_sum 'La3 Ti1 Ga5 O14'
_space_group_name_H-M_alt 'P 1'
_space_group_IT_number 1
_cell_length_a 5.087
_cell_length_b 8.199
_cell_length_c 8.199
_cell_angle_alpha 120.00
_cell_angle_beta 90.00
_cell_angle_gamma 90.00
loop_
_space_group_symop_operation_xyz
'x,y,z'
loop_
_atom_site_label
_atom_site_type_symbol
_atom_site_fract_x
_atom_site_fract_y
_atom_site_fract_z
O1 O 0.236 0.143 0.217
O2 O 0.300 0.854 0.309
O3 O 0.300 0.691 0.545
O4 O 0.177 0.333 0.667
O5 O 0.700 0.545 0.691
O6 O 0.764 0.217 0.143
O7 O 0.700 0.309 0.854
O8 O 0.236 0.783 0.926
O9 O 0.300 0.455 0.146
O10 O 0.823 0.667 0.333
O11 O 0.764 0.926 0.783
O12 O 0.764 0.857 0.074
O13 O 0.700 0.146 0.455
O14 O 0.236 0.074 0.857
Ga1 Ga 0.469 0.667 0.333
Ga2 Ga 0.500 0.239 0.000
Ga3 Ga 0.531 0.333 0.667
Ga4 Ga 0.500 0.761 0.761
Ga5 Ga 0.500 0.000 0.239
La1 La 0.000 0.577 0.000
La2 La 0.000 0.000 0.577
La3 La 0.000 0.423 0.423
Ti1 Ti 0.000 0.000 0.000
# - theoretical density (g/cm3) = 5.8
# - uncorrected formation energy (eV per atom) = -2.852
# - symmetry = P321 (150)

No. 6
# meta-GGA SCAN LaGa4Os, single point on PBEsol structure
data_LaGa4Os
_chemical_formula_sum 'La2 Ga8 Os2'
_space_group_name_H-M_alt 'P 1'
_space_group_IT_number 1
_cell_length_a 4.150
_cell_length_b 7.030
_cell_length_c 7.672
_cell_angle_alpha 90.00
_cell_angle_beta 90.00
_cell_angle_gamma 90.00
loop_
_space_group_symop_operation_xyz
'x,y,z'
loop_
_atom_site_label
_atom_site_type_symbol
_atom_site_fract_x
_atom_site_fract_y
_atom_site_fract_z
Ga1 Ga 0.500 0.683 0.067
Ga2 Ga 0.000 0.000 0.000
Ga3 Ga 0.500 0.317 0.933
Ga4 Ga 0.000 0.000 0.500
Ga5 Ga 0.500 0.683 0.433
Ga6 Ga 0.500 0.961 0.750
Ga7 Ga 0.500 0.039 0.250
Ga8 Ga 0.500 0.317 0.567
Os1 Os 0.000 0.202 0.750
Os2 Os 0.000 0.798 0.250
La1 La 0.000 0.632 0.750
La2 La 0.000 0.368 0.250
# - theoretical density (g/cm3) = 9.0
# - energy of formation (kJ/mol of formula units) = -319
# - symmetry = Pmma (51)